Computed, not measured: a geometry-optimized Mn2CrNiBr structure at the GGA-PBE level of DFT.

## Properties
- Crystal system: tetragonal
- Formation energy from raw total energies: 1.441 eV/atom

a = 4.5599 Å, b = 4.6506 Å, c = 4.5599 Å
α = 90.00°, β = 90.00°, γ = 90.00°
Each line ends with the local moment (μB).
Positions (direct):
1 Ni 0.0000 0.0000 0.0000  0.41
2 Mn 0.0000 0.0000 0.5000  3.80
3 Mn 0.5000 0.0000 0.0000  3.86
4 Br 0.0000 0.5000 0.0000  0.04
5 Cr 0.5000 0.5000 0.5000  0.22

Computed, not measured: a geometry-optimized ScNi2Pt structure at the GGA-PBE level of DFT.

## Properties
- Formation energy: -0.476 eV/atom
- Crystal system: cubic

a = 4.3389 Å, b = 4.3389 Å, c = 4.3389 Å
α = 60.00°, β = 60.00°, γ = 60.00°
Each line ends with the local moment (μB).
Positions (direct):
1 Ni 0.0000 0.0000 0.0000  0.03
2 Ni 0.2500 0.2500 0.2500  0.24
3 Pt 0.5000 0.5000 0.5000  0.01
4 Sc 0.7500 0.7500 0.7500  0.01

Computed, not measured: a geometry-optimized Ac8HgTe4P3 structure at the GGA-PBE level of DFT.

## Properties
- Crystal system: trigonal
- Formation energy from raw total energies: -1.385 eV/atom

a = 9.1753 Å, b = 9.3409 Å, c = 9.1753 Å
α = 119.42°, β = 120.00°, γ = 90.00°
Positions (direct):
1 Ac 0.2465 0.7255 0.9790
2 Ac 0.2465 0.7255 0.4930
3 Ac 0.2615 0.2845 0.5230
4 Ac 0.7325 0.7255 0.9790
5 Ac 0.2675 0.2745 0.0210
6 Ac 0.7385 0.7155 0.4770
7 Ac 0.7535 0.2745 0.5070
8 Ac 0.7535 0.2745 0.0210
9 Hg 0.0000 0.5000 0.0000
10 Te 0.5000 0.0000 0.0000
11 Te 0.5000 0.0000 0.5000
12 Te 0.0000 0.0000 0.0000
13 Te 0.0000 0.0000 0.5000
14 P 0.5000 0.5000 0.0000
15 P 0.5000 0.5000 0.5000
16 P 0.0000 0.5000 0.5000

Computed, not measured: a geometry-optimized CaP2SN structure at the GGA-PBE level of DFT.

## Properties
- Crystal system: tetragonal
- Formation energy from raw total energies: 0.330 eV/atom

a = 4.0250 Å, b = 4.0250 Å, c = 5.0081 Å
α = 90.00°, β = 90.00°, γ = 90.00°
Positions (direct):
1 P 0.0000 0.5000 0.0000
2 P 0.5000 0.0000 0.0000
3 Ca 0.5000 0.5000 0.5000
4 S 0.0000 0.0000 0.5000
5 N 0.0000 0.0000 0.0000

Computed, not measured: a geometry-optimized SrTaFe2 structure at the GGA-PBE level of DFT.

## Properties
- Formation energy: 1.011 eV/atom
- Crystal system: cubic

a = 4.6284 Å, b = 4.6284 Å, c = 4.6284 Å
α = 60.00°, β = 60.00°, γ = 60.00°
Each line ends with the local moment (μB).
Positions (direct):
1 Fe 0.0000 0.0000 0.0000  2.22
2 Fe 0.2500 0.2500 0.2500  2.67
3 Sr 0.5000 0.5000 0.5000  -0.06
4 Ta 0.7500 0.7500 0.7500  -0.63

Computed, not measured: a geometry-optimized LaMg2BTe structure at the GGA-PBE level of DFT.

## Properties
- Crystal system: tetragonal
- Formation energy from raw total energies: 1.405 eV/atom

a = 6.4871 Å, b = 5.9918 Å, c = 6.4871 Å
α = 90.00°, β = 90.00°, γ = 90.00°
Each line ends with the local moment (μB).
Positions (direct):
1 Mg 0.0000 0.0000 0.5000  0.00
2 Mg 0.5000 0.0000 0.0000  0.01
3 Te 0.0000 0.5000 0.0000  -0.01
4 B 0.5000 0.5000 0.5000  0.26
5 La 0.0000 0.0000 0.0000  0.10

Computed, not measured: a geometry-optimized Sb3W2 structure at the GGA-PBE level of DFT.

## Properties
- Crystal system: orthorhombic
- Formation energy from raw total energies: 0.633 eV/atom

a = 9.6867 Å, b = 8.8381 Å, c = 5.5159 Å
α = 81.33°, β = 64.42°, γ = 34.26°
Positions (direct):
1 Sb 0.1639 0.2276 0.9731
2 Sb 0.6354 0.9731 0.2276
3 Sb 0.2769 0.6146 0.0861
4 Sb 0.0224 0.0861 0.6146
5 Sb 0.9030 0.5970 0.5970
6 Sb 0.6530 0.3470 0.3470
7 W 0.7474 0.0290 0.6733
8 W 0.5503 0.6733 0.0290
9 W 0.5767 0.6997 0.5026
10 W 0.2210 0.5026 0.6997

Computed, not measured: a geometry-optimized Zr5Sb3N structure at the GGA-PBE level of DFT.

## Properties
- Crystal system: hexagonal
- Formation energy from raw total energies: -0.929 eV/atom

a = 5.8762 Å, b = 8.4052 Å, c = 8.4052 Å
α = 120.00°, β = 90.00°, γ = 90.00°
Positions (direct):
1 Zr 0.0000 0.3333 0.6667
2 Zr 0.5000 0.6667 0.3333
3 Zr 0.0000 0.6667 0.3333
4 Zr 0.5000 0.3333 0.6667
5 Zr 0.7500 0.7817 0.0000
6 Zr 0.7500 0.2183 0.2183
7 Zr 0.7500 0.0000 0.7817
8 Zr 0.2500 0.2183 0.0000
9 Zr 0.2500 0.7817 0.7817
10 Zr 0.2500 0.0000 0.2183
11 Sb 0.7500 0.4041 0.0000
12 Sb 0.7500 0.5959 0.5959
13 Sb 0.7500 0.0000 0.4041
14 Sb 0.2500 0.5959 0.0000
15 Sb 0.2500 0.4041 0.4041
16 Sb 0.2500 0.0000 0.5959
17 N 0.0000 0.0000 0.0000
18 N 0.5000 0.0000 0.0000

Computed, not measured: a geometry-optimized Li3BeC structure at the GGA-PBE level of DFT.

## Properties
- Formation energy: 0.751 eV/atom
- Crystal system: cubic

a = 3.9675 Å, b = 3.9675 Å, c = 3.9675 Å
α = 90.00°, β = 90.00°, γ = 90.00°
Positions (direct):
1 Be 0.5000 0.5000 0.5000
2 C 0.0000 0.0000 0.0000
3 Li 0.0000 0.5000 0.0000
4 Li 0.0000 0.0000 0.5000
5 Li 0.5000 0.0000 0.0000